(1)
First-principles (PBE) data for a geometry-optimized RbHoHgS3 structure, as listed in OQMD via LeMat-Bulk.

Output
VASP energy = -4.2710 eV/atom

Lattice parameters (Å, degrees): 15.028 4.125 11.005 90.00 90.00 90.00
Fractional positions:
Rb 0.239 0.250 0.053
Rb 0.261 0.750 0.553
Rb 0.739 0.250 0.447
Rb 0.761 0.750 0.947
Ho 0.021 0.250 0.353
Ho 0.479 0.750 0.853
Ho 0.521 0.250 0.147
Ho 0.979 0.750 0.647
Hg 0.015 0.750 0.109
Hg 0.485 0.250 0.609
Hg 0.515 0.750 0.391
Hg 0.985 0.250 0.891
S 0.087 0.250 0.576
S 0.089 0.750 0.875
S 0.133 0.750 0.270
S 0.367 0.250 0.770
S 0.411 0.250 0.375
S 0.413 0.750 0.076
S 0.587 0.250 0.924
S 0.589 0.750 0.625
S 0.633 0.750 0.230
S 0.867 0.250 0.730
S 0.911 0.250 0.125
S 0.913 0.750 0.424

=====

(2)
First-principles (PBE) data for a geometry-optimized ZrNi structure, as listed in OQMD via LeMat-Bulk.

Output
VASP energy = -6.9160 eV/atom
formation enthalpy at 0 K = 0.141 eV per atom

Lattice parameters (Å, degrees): 5.766 5.766 4.627 90.00 90.00 120.00
Fractional positions:
Zr 0.000 0.000 0.000
Zr 0.172 0.344 0.500
Zr 0.172 0.828 0.500
Zr 0.656 0.828 0.500
Ni 0.522 0.043 0.000
Ni 0.522 0.478 0.000
Ni 0.667 0.333 0.500
Ni 0.957 0.478 0.000

=====

(3)
First-principles (PBE) data for a geometry-optimized NaErAsO structure, as listed in OQMD via LeMat-Bulk.

Output
VASP energy = -5.0288 eV/atom

Lattice parameters (Å, degrees): 3.994 3.994 4.922 90.00 90.00 90.00
Fractional positions:
Na 0.000 0.000 0.000
Er 0.500 0.500 0.500
As 0.000 0.000 0.500
O 0.500 0.500 0.000

=====

(4)
First-principles (PBE) data for a geometry-optimized NaTmAs structure, as listed in OQMD via LeMat-Bulk.

Output
VASP energy = -4.1695 eV/atom

Lattice parameters (Å, degrees): 4.796 4.796 7.172 90.00 90.00 90.00
Fractional positions:
Na 0.250 0.250 0.122
Na 0.750 0.750 0.878
Tm 0.250 0.750 0.500
Tm 0.750 0.250 0.500
As 0.250 0.250 0.712
As 0.750 0.750 0.288

=====

(5)
First-principles (PBE) data for a geometry-optimized Pt12W structure, as listed in OQMD via LeMat-Bulk.

Output
VASP energy = -6.6520 eV/atom
formation enthalpy at 0 K = -0.065 eV per atom

Lattice parameters (Å, degrees): 6.483 6.483 6.483 109.47 109.47 109.47
Fractional positions:
Pt 0.122 0.815 0.307
Pt 0.185 0.307 0.492
Pt 0.185 0.693 0.878
Pt 0.307 0.122 0.815
Pt 0.307 0.492 0.185
Pt 0.492 0.185 0.307
Pt 0.508 0.815 0.693
Pt 0.693 0.508 0.815
Pt 0.693 0.878 0.185
Pt 0.815 0.307 0.122
Pt 0.815 0.693 0.508
Pt 0.878 0.185 0.693
W 0.000 0.000 0.000

=====

(6)
First-principles (PBE) data for a geometry-optimized Nd4B2C5 structure, as listed in OQMD via LeMat-Bulk.

Output
VASP energy = -7.2158 eV/atom

Lattice parameters (Å, degrees): 6.872 6.872 9.633 131.06 131.06 32.55
Fractional positions:
Nd 0.077 0.077 0.398
Nd 0.225 0.225 0.148
Nd 0.775 0.775 0.852
Nd 0.923 0.923 0.602
B 0.471 0.471 0.838
B 0.529 0.529 0.162
C 0.322 0.322 0.716
C 0.402 0.402 0.125
C 0.500 0.500 0.500
C 0.598 0.598 0.875
C 0.678 0.678 0.284

=====

Question: Number 5 is which compound?
Answer: Pt12W